# 1
Material: MnZn2Pb
Method: DFT, GGA-PBE
State: relaxed

abc: 3.304 3.304 6.929
angles: 90.00 90.00 90.00
Each line ends with the local moment (μB).
Fractional coordinates of all 4 atoms:
Mn 0.000 0.000 0.447  3.51
Pb 0.500 0.500 0.739  -0.04
Zn 0.000 0.000 0.057  -0.01
Zn 0.500 0.500 0.257  -0.05

Properties
For the total energy, the calculation gives -3.61 eV per atom. The calculation puts the formation energy at 0.242 eV per atom. The calculated density is 8.63 Mg/m³. As for the symmetry: No. 99.



# 2
Material: LiBiAsSe2
Method: DFT, GGA-PBE
State: relaxed

abc: 4.963 4.963 4.458
angles: 90.00 90.00 90.00
Fractional coordinates of all 5 atoms:
Se 0.500 0.000 0.000
Se 0.000 0.500 0.000
As 0.000 0.000 0.500
Bi 0.500 0.500 0.500
Li 0.000 0.000 0.000

Properties
For the total energy, the calculation gives -3.30 eV per atom. The uncorrected formation energy comes out at 0.180 eV per atom. Its distance to the lowest polymorph of the same formula is 0 meV per atom. The calculated density is 6.79 Mg/m³. As for the symmetry: No. 123.



# 3
Material: TaFePt2
Method: DFT, GGA-PBE
State: relaxed

abc: 9.162 9.162 9.162
angles: 17.66 17.66 17.66
Each line ends with the local moment (μB).
Fractional coordinates of all 4 atoms:
Pt 0.003 0.003 0.003  0.07
Pt 0.497 0.497 0.497  0.07
Ta 0.250 0.250 0.250  -0.15
Fe 0.750 0.750 0.750  2.83

Properties
For the total energy, the calculation gives -8.35 eV per atom. The calculation puts the formation energy at -0.253 eV per atom. Its distance to the lowest polymorph of the same formula is 321 meV per atom. The calculated density is 16.86 Mg/m³. As for the symmetry: No. 166.



# 4
Material: Cd2MoOs
Method: DFT, GGA-PBE
State: relaxed

abc: 4.594 4.594 4.594
angles: 119.64 119.64 90.62
Fractional coordinates of all 4 atoms:
Cd 0.250 0.750 0.500
Cd 0.000 0.000 0.000
Os 0.750 0.250 0.500
Mo 0.500 0.500 0.000

Properties
For the total energy, the calculation gives -5.44 eV per atom. The calculation puts the formation energy at 0.529 eV per atom. Its distance to the lowest polymorph of the same formula is 339 meV per atom. The calculated density is 12.31 Mg/m³. As for the symmetry: No. 119.



# 5
Material: Y2VOs
Method: DFT, GGA-PBE
State: relaxed

abc: 7.899 7.899 6.327
angles: 51.38 51.38 90.00
Each line ends with the local moment (μB).
Fractional coordinates of all 8 atoms:
Y 0.875 0.908 0.750  0.07
Y 0.375 0.342 0.750  0.07
Y 0.658 0.125 0.250  0.07
Y 0.092 0.625 0.250  0.07
Os 0.750 0.250 0.500  -0.01
Os 0.000 0.000 0.000  -0.01
V 0.250 0.750 0.500  2.51
V 0.500 0.500 0.000  2.51

Properties
For the total energy, the calculation gives -7.67 eV per atom. The calculation puts the formation energy at 0.650 eV per atom. Its distance to the lowest polymorph of the same formula is 526 meV per atom. The calculated density is 7.50 Mg/m³. As for the symmetry: No. 122.



# 6
Material: LaZn5Cu7
Method: DFT, GGA-PBE
State: relaxed

abc: 4.963 6.713 6.713
angles: 82.65 68.31 68.31
Fractional coordinates of all 13 atoms:
Cu 0.354 0.646 0.646
Cu 0.501 0.766 0.232
Cu 0.002 0.641 0.354
Cu 0.640 0.360 0.360
Cu 0.002 0.354 0.641
Cu 0.270 0.230 0.230
Cu 0.501 0.232 0.766
Zn 0.002 0.002 0.496
Zn 0.500 0.002 0.496
Zn 0.002 0.496 0.002
Zn 0.730 0.770 0.770
Zn 0.500 0.496 0.002
La 0.995 0.005 0.005

Properties
For the total energy, the calculation gives -3.19 eV per atom. The calculation puts the formation energy at -0.114 eV per atom. The calculated density is 7.83 Mg/m³. As for the symmetry: No. 44.



# 7
Material: Tb5Dy2In4
Method: DFT, GGA-PBE
State: relaxed

abc: 5.244 10.415 8.781
angles: 126.37 107.37 90.00
Fractional coordinates of all 11 atoms:
Tb 0.775 0.117 0.549
Tb 0.225 0.883 0.451
Tb 0.500 0.000 0.000
Tb 0.225 0.568 0.451
Tb 0.775 0.432 0.549
In 0.000 0.786 0.000
In 0.392 0.392 0.785
In 0.000 0.214 0.000
In 0.608 0.608 0.215
Dy 0.168 0.168 0.336
Dy 0.832 0.832 0.664

Properties
For the total energy, the calculation gives -3.86 eV per atom. The calculation puts the formation energy at 0.074 eV per atom. Its distance to the lowest polymorph of the same formula is 329 meV per atom. The calculated density is 7.31 Mg/m³. As for the symmetry: No. 71.



# 8
Material: ZnCd3Se4
Method: DFT, GGA-PBE
State: relaxed

abc: 6.079 6.079 6.079
angles: 90.00 90.00 90.00
Fractional coordinates of all 8 atoms:
Cd 0.000 0.500 0.500
Cd 0.500 0.500 0.000
Cd 0.500 0.000 0.500
Zn 0.000 0.000 0.000
Se 0.238 0.238 0.238
Se 0.762 0.762 0.238
Se 0.238 0.762 0.762
Se 0.762 0.238 0.762

Properties
For the total energy, the calculation gives -2.89 eV per atom. The uncorrected formation energy comes out at -0.641 eV per atom. The calculated density is 5.31 Mg/m³. As for the symmetry: No. 215.